GaHgWAu2 | SCAN | single point on PBEsol structure

Lattice parameters (Å, degrees): 5.074 5.074 4.707 90.00 90.00 90.00
Fractional coordinates of all 5 atoms:
Ga 0.000 0.000 0.000
Hg 0.000 0.000 0.500
W 0.500 0.500 0.000
Au 0.000 0.500 0.500
Au 0.500 0.000 0.500

**Energy of formation**: 8.5 eV/f.u.
**SG**: P4/mmm, No. 123
**Energy**: -284.02 eV for the cell shown